The following is a DFT calculation (GGA-PBE) of crystalline TaTcP2Cl at its relaxed geometry.

ΔE to the lowest computed polymorph in eV per atom: 0.235
Total DFT energy (no corrections) in eV/cell: -30.0
ΔE_f (raw) in eV per atom: 0.98
Calculated volume in Å³/cell: 99.5

Geometry as CIF:
```
data_TaTcP2Cl
_chemical_formula_sum 'Ta1 Tc1 P2 Cl1'
_space_group_name_H-M_alt 'P 4/m m m'
_space_group_IT_number 123
_space_group_name_Hall '-P 4 2'
_cell_length_a 4.5563
_cell_length_b 4.5563
_cell_length_c 4.7929
_cell_angle_alpha 90.00
_cell_angle_beta 90.00
_cell_angle_gamma 90.00
loop_
_atom_site_label
_atom_site_type_symbol
_atom_site_fract_x
_atom_site_fract_y
_atom_site_fract_z
Ta1 Ta 0.0000 0.0000 0.0000
Tc1 Tc 0.5000 0.5000 0.5000
P1 P 0.0000 0.5000 0.5000
Cl1 Cl 0.5000 0.5000 0.0000
```

The following is a DFT calculation (GGA-PBE) of crystalline PrGdCuPb at its relaxed geometry.

Total DFT energy (no corrections) in eV/cell: -111.7
Formation energy in eV per atom: -0.314
Calculated volume in Å³/cell: 430.1

Geometry as CIF:
```
data_PrGdCuPb
_chemical_formula_sum 'Pr4 Gd4 Cu4 Pb4'
_space_group_name_H-M_alt 'F -4 3 m'
_space_group_IT_number 216
_space_group_name_Hall 'F -4 2 3'
_cell_length_a 7.5485
_cell_length_b 7.5485
_cell_length_c 7.5485
_cell_angle_alpha 90.00
_cell_angle_beta 90.00
_cell_angle_gamma 90.00
loop_
_atom_site_label
_atom_site_type_symbol
_atom_site_fract_x
_atom_site_fract_y
_atom_site_fract_z
Pr1 Pr 0.0000 0.0000 0.0000
Gd1 Gd 0.0000 0.0000 0.5000
Cu1 Cu 0.2500 0.2500 0.2500
Pb1 Pb 0.2500 0.2500 0.7500
```

The following is a DFT calculation (GGA-PBE) of crystalline Tl5In2Bi at its relaxed geometry.

Total DFT energy (no corrections) in eV/cell: -42.4
Formation energy in eV per atom: 0.002
Calculated volume in Å³/cell: 487.7

Geometry as CIF:
```
data_Tl5In2Bi
_chemical_formula_sum 'Tl10 In4 Bi2'
_space_group_name_H-M_alt 'P b a m'
_space_group_IT_number 55
_cell_length_a 6.9623
_cell_length_b 13.8064
_cell_length_c 5.0736
_cell_angle_alpha 90.00
_cell_angle_beta 90.00
_cell_angle_gamma 90.00
loop_
_space_group_symop_operation_xyz
'x,y,z'
'-x,-y,-z'
'-x,-y,z'
'x,y,-z'
'x+1/2,-y+1/2,-z'
'-x+1/2,y+1/2,z'
'-x+1/2,y+1/2,-z'
'x+1/2,-y+1/2,z'
loop_
_atom_site_label
_atom_site_type_symbol
_atom_site_fract_x
_atom_site_fract_y
_atom_site_fract_z
Tl1 Tl 0.0000 0.0000 0.0000
Tl2 Tl 0.0214 0.2545 0.0000
Tl3 Tl 0.2304 0.8734 0.5000
In1 In 0.2327 0.6203 0.5000
Bi1 Bi 0.0000 0.5000 0.0000
```

The following is a DFT calculation (GGA-PBE) of crystalline La2YSc at its relaxed geometry.

ΔE to the lowest computed polymorph in eV per atom: 0.093
Total DFT energy (no corrections) in eV/cell: -22.1
Formation energy in eV per atom: 0.134
Calculated volume in Å³/cell: 128.9

Geometry as CIF:
```
data_La2YSc
_chemical_formula_sum 'La2 Y1 Sc1'
_space_group_name_H-M_alt 'P 1 2/m 1'
_space_group_IT_number 10
_cell_length_a 3.4950
_cell_length_b 5.8088
_cell_length_c 6.4045
_cell_angle_alpha 90.00
_cell_angle_beta 97.44
_cell_angle_gamma 90.00
loop_
_space_group_symop_operation_xyz
'x,y,z'
'-x,-y,-z'
'-x,y,-z'
'x,-y,z'
loop_
_atom_site_label
_atom_site_type_symbol
_atom_site_fract_x
_atom_site_fract_y
_atom_site_fract_z
La1 La 0.1839 0.0000 0.2736
Y1 Y 0.5000 0.5000 0.0000
Sc1 Sc 0.0000 0.5000 0.5000
```

The following is a DFT calculation (GGA-PBE) of crystalline BeSi2Pb at its relaxed geometry.

ΔE to the lowest computed polymorph in eV per atom: 0.204
Total DFT energy (no corrections) in eV/cell: -48.0
ΔE_f (raw) in eV per atom: 0.57
Calculated volume in Å³/cell: 227.2

Geometry as CIF:
```
data_BeSi2Pb
_chemical_formula_sum 'Be3 Si6 Pb3'
_space_group_name_H-M_alt 'R -3 m'
_space_group_IT_number 166
_space_group_name_Hall '-R 3 2"'
_cell_length_a 3.2160
_cell_length_b 3.2160
_cell_length_c 25.3659
_cell_angle_alpha 90.00
_cell_angle_beta 90.00
_cell_angle_gamma 120.00
loop_
_atom_site_label
_atom_site_type_symbol
_atom_site_fract_x
_atom_site_fract_y
_atom_site_fract_z
Be1 Be 0.0000 0.0000 0.0000
Si1 Si 0.0000 0.0000 0.2764
Pb1 Pb 0.0000 0.0000 0.5000
```

The following is a DFT calculation (GGA-PBE) of crystalline Nd2DyYEr at its relaxed geometry.

Total DFT energy (no corrections) in eV/cell: -92.3
Formation energy in eV per atom: 0.417
Calculated volume in Å³/cell: 707.1

Geometry as CIF:
```
data_Nd2DyYEr
_chemical_formula_sum 'Nd8 Dy4 Y4 Er4'
_space_group_name_H-M_alt 'C m c m'
_space_group_IT_number 63
_space_group_name_Hall '-C 2c 2'
_cell_length_a 8.3747
_cell_length_b 11.6237
_cell_length_c 7.2635
_cell_angle_alpha 90.00
_cell_angle_beta 90.00
_cell_angle_gamma 90.00
loop_
_atom_site_label
_atom_site_type_symbol
_atom_site_fract_x
_atom_site_fract_y
_atom_site_fract_z
Nd1 Nd 0.1942 0.0000 0.0000
Dy1 Dy 0.0000 0.4718 0.2500
Y1 Y 0.0000 0.2447 0.7500
Er1 Er 0.0000 0.2100 0.2500
```

The following is a DFT calculation (GGA-PBE) of crystalline LaSbPd3 at its relaxed geometry.

ΔE to the lowest computed polymorph in eV per atom: 0.309
Total DFT energy (no corrections) in eV/cell: -26.7
ΔE_f (raw) in eV per atom: -0.41
Calculated volume in Å³/cell: 123.6

Geometry as CIF:
```
data_LaSbPd3
_chemical_formula_sum 'La1 Sb1 Pd3'
_space_group_name_H-M_alt 'P m -3 m'
_space_group_IT_number 221
_space_group_name_Hall '-P 4 2 3'
_cell_length_a 4.9817
_cell_length_b 4.9817
_cell_length_c 4.9817
_cell_angle_alpha 90.00
_cell_angle_beta 90.00
_cell_angle_gamma 90.00
loop_
_atom_site_label
_atom_site_type_symbol
_atom_site_fract_x
_atom_site_fract_y
_atom_site_fract_z
La1 La 0.0000 0.0000 0.0000
Sb1 Sb 0.5000 0.5000 0.5000
Pd1 Pd 0.0000 0.5000 0.5000
```

The following is a DFT calculation (GGA-PBE) of crystalline Ca2RuPb at its relaxed geometry.

Total DFT energy (no corrections) in eV/cell: -34.1
Formation energy in eV per atom: -0.020
Calculated volume in Å³/cell: 219.5

Geometry as CIF:
```
data_Ca2RuPb
_chemical_formula_sum 'Ca4 Ru2 Pb2'
_space_group_name_H-M_alt 'A m m 2'
_space_group_IT_number 38
_cell_length_a 4.3738
_cell_length_b 4.4509
_cell_length_c 11.2777
_cell_angle_alpha 90.00
_cell_angle_beta 90.00
_cell_angle_gamma 90.00
loop_
_space_group_symop_operation_xyz
'x,y,z'
'-x,-y,z'
'-x,y,z'
'x,-y,z'
'x,y+1/2,z+1/2'
'-x,-y+1/2,z+1/2'
'-x,y+1/2,z+1/2'
'x,-y+1/2,z+1/2'
loop_
_atom_site_label
_atom_site_type_symbol
_atom_site_fract_x
_atom_site_fract_y
_atom_site_fract_z
Ca1 Ca 0.0000 0.0000 0.0000
Ca2 Ca 0.5000 0.0000 0.2892
Ru1 Ru 0.5000 0.0000 0.5691
Pb1 Pb 0.0000 0.0000 0.7074
```

Q: Among the records above, which one has the lowest total DFT energy (no corrections)?
A: PrGdCuPb